(1)
{
  "formula": "As2WSeF",
  "functional": "PBE with a Hubbard U",
  "state": "optimized geometry",
  "cell": [[4.279, 0.000, 0.000], [0.000, 4.279, 0.000], [0.000, 0.000, 5.392]],
  "species": ["As", "As", "W", "Se", "F"],
  "fractional_positions": [[0.000, 0.500, 0.000], [0.500, 0.000, 0.000], [0.000, 0.000, 0.500], [0.500, 0.500, 0.500], [0.500, 0.500, 0.000]],
  "spacegroup": "No. 123",
  "total_energy_ev_per_atom": -3.826
}

***

(2)
{
  "formula": "As2WSeF",
  "functional": "PBE with a Hubbard U",
  "state": "optimized geometry",
  "cell": [[4.921, 0.000, 0.000], [0.000, 4.921, 0.000], [0.000, 0.000, 4.858]],
  "species": ["As", "As", "W", "Se", "F"],
  "fractional_positions": [[0.000, 0.500, 0.000], [0.500, 0.000, 0.000], [0.000, 0.000, 0.000], [0.000, 0.000, 0.500], [0.500, 0.500, 0.500]],
  "spacegroup": "No. 123",
  "total_energy_ev_per_atom": -4.031
}